Entry 1:
! Mn2BeAg, relaxed, DFT GGA-PBEsol; values from VASP
! VASP energy   -6.567 eV/atom
! Space group   No. 99
! M_tot   0.00 μB/f.u.
! Energy of formation from the pure elements   0.141 eV/atom
&SYSTEM
  ibrav = 0, nat = 4, ntyp = 3
/
ATOMIC_SPECIES
Mn 54.94 Mn.upf
Be 9.01 Be.upf
Ag 107.87 Ag.upf
ATOMIC_POSITIONS crystal
Mn 0.500 0.500 0.192
Mn 0.000 0.000 0.998
Be 0.500 0.500 0.784
Ag 0.000 0.000 0.526
CELL_PARAMETERS angstrom
-1.321 2.315 0.494
-1.966 -1.388 1.248
3.002 0.568 5.360



Entry 2:
! Mn2BeAg, relaxed, DFT GGA-PBEsol; values from VASP
! VASP energy   -6.283 eV/atom
! Space group   No. 139
! M_tot   1.78 μB/f.u.
! Energy of formation from the pure elements   0.425 eV/atom
&SYSTEM
  ibrav = 0, nat = 4, ntyp = 3
/
ATOMIC_SPECIES
Ag 107.87 Ag.upf
Mn 54.94 Mn.upf
Be 9.01 Be.upf
ATOMIC_POSITIONS crystal
Ag 0.500 0.500 0.000
Mn 0.250 0.750 0.500
Mn 0.750 0.250 0.500
Be 0.000 0.000 0.000
CELL_PARAMETERS angstrom
3.340 0.000 0.000
0.000 3.340 0.000
-1.670 -1.670 4.092



Entry 3:
! BeAgMo3, relaxed, DFT GGA-PBEsol; values from VASP
! VASP energy   -7.650 eV/atom
! Space group   No. 221
! M_tot   0.00 μB/f.u.
! Energy of formation from the pure elements   0.873 eV/atom
&SYSTEM
  ibrav = 0, nat = 5, ntyp = 3
/
ATOMIC_SPECIES
Ag 107.87 Ag.upf
Mo 95.94 Mo.upf
Be 9.01 Be.upf
ATOMIC_POSITIONS crystal
Ag 0.500 0.500 0.500
Mo 0.000 0.000 0.500
Mo 0.500 0.000 0.000
Mo 0.000 0.500 0.000
Be 0.000 0.000 0.000
CELL_PARAMETERS angstrom
4.197 0.000 0.000
0.000 4.197 0.000
0.000 0.000 4.197



Entry 4:
! Be2Ag2Mo, relaxed, DFT GGA-PBEsol; values from VASP
! VASP energy   -4.838 eV/atom
! Space group   No. 139
! M_tot   0.00 μB/f.u.
! Energy of formation from the pure elements   0.440 eV/atom
&SYSTEM
  ibrav = 0, nat = 5, ntyp = 3
/
ATOMIC_SPECIES
Mo 95.94 Mo.upf
Ag 107.87 Ag.upf
Be 9.01 Be.upf
ATOMIC_POSITIONS crystal
Mo 0.000 0.000 0.000
Ag 0.250 0.750 0.500
Ag 0.750 0.250 0.500
Be 0.595 0.595 0.190
Be 0.405 0.405 0.810
CELL_PARAMETERS angstrom
3.601 0.000 0.000
0.000 3.601 0.000
-1.801 -1.801 5.110



Entry 5:
! BeZnAgN2, relaxed, DFT GGA-PBEsol; values from VASP
! VASP energy   -3.555 eV/atom
! Space group   No. 123
! Formation energy from raw total energies   1.634 eV/atom
! M_tot   0.74 μB/f.u.
&SYSTEM
  ibrav = 0, nat = 5, ntyp = 4
/
ATOMIC_SPECIES
Zn 65.41 Zn.upf
N 14.01 N.upf
Ag 107.87 Ag.upf
Be 9.01 Be.upf
ATOMIC_POSITIONS crystal
Zn 0.000 0.000 0.000
N 0.000 0.500 0.000
N 0.500 0.000 0.000
Ag 0.500 0.500 0.500
Be 0.000 0.000 0.500
CELL_PARAMETERS angstrom
3.825 0.000 0.000
0.000 3.825 0.000
0.000 0.000 4.239



Entry 6:
! NaBe2Ag, relaxed, DFT GGA-PBEsol; values from VASP
! VASP energy   -2.668 eV/atom
! Space group   No. 225
! M_tot   0.00 μB/f.u.
! Energy of formation from the pure elements   0.510 eV/atom
&SYSTEM
  ibrav = 0, nat = 4, ntyp = 3
/
ATOMIC_SPECIES
Be 9.01 Be.upf
Ag 107.87 Ag.upf
Na 22.99 Na.upf
ATOMIC_POSITIONS crystal
Be 0.250 0.250 0.250
Be 0.750 0.750 0.750
Ag 0.500 0.500 0.500
Na 0.000 0.000 0.000
CELL_PARAMETERS angstrom
-3.629 -0.653 2.093
-3.497 -1.119 -2.119
-1.547 -3.928 0.386



Entry 7:
! NaBe3Ag, relaxed, DFT GGA-PBEsol; values from VASP
! VASP energy   -2.640 eV/atom
! Space group   No. 221
! M_tot   0.00 μB/f.u.
! Energy of formation from the pure elements   0.702 eV/atom
&SYSTEM
  ibrav = 0, nat = 5, ntyp = 3
/
ATOMIC_SPECIES
Na 22.99 Na.upf
Ag 107.87 Ag.upf
Be 9.01 Be.upf
ATOMIC_POSITIONS crystal
Na 0.500 0.500 0.500
Ag 0.000 0.000 0.000
Be 0.500 0.000 0.000
Be 0.000 0.500 0.000
Be 0.000 0.000 0.500
CELL_PARAMETERS angstrom
4.391 0.000 0.000
0.000 4.391 0.000
0.000 0.000 4.391



Entry 8:
! Na3BeAg, relaxed, DFT GGA-PBEsol; values from VASP
! VASP energy   -1.540 eV/atom
! Space group   No. 221
! M_tot   0.00 μB/f.u.
! Energy of formation from the pure elements   0.762 eV/atom
&SYSTEM
  ibrav = 0, nat = 5, ntyp = 3
/
ATOMIC_SPECIES
Na 22.99 Na.upf
Ag 107.87 Ag.upf
Be 9.01 Be.upf
ATOMIC_POSITIONS crystal
Na 0.000 0.000 0.500
Na 0.500 0.000 0.000
Na 0.000 0.500 0.000
Ag 0.000 0.000 0.000
Be 0.500 0.500 0.500
CELL_PARAMETERS angstrom
5.438 0.000 0.000
0.000 5.438 0.000
0.000 0.000 5.438



Entry 9:
! NaBeAg3, relaxed, DFT GGA-PBEsol; values from VASP
! VASP energy   -2.843 eV/atom
! Space group   No. 221
! M_tot   0.00 μB/f.u.
! Energy of formation from the pure elements   0.224 eV/atom
&SYSTEM
  ibrav = 0, nat = 5, ntyp = 3
/
ATOMIC_SPECIES
Ag 107.87 Ag.upf
Be 9.01 Be.upf
Na 22.99 Na.upf
ATOMIC_POSITIONS crystal
Ag 0.000 0.500 0.000
Ag 0.500 0.000 0.000
Ag 0.000 0.000 0.500
Be 0.000 0.000 0.000
Na 0.500 0.500 0.500
CELL_PARAMETERS angstrom
-1.277 -2.626 -3.403
0.209 -3.583 2.687
-4.293 0.606 1.143



Entry 10:
! NaBeSiAg2, relaxed, DFT GGA-PBEsol; values from VASP
! VASP energy   -2.875 eV/atom
! Space group   No. 123
! Formation energy from raw total energies   0.679 eV/atom
! M_tot   0.00 μB/f.u.
&SYSTEM
  ibrav = 0, nat = 5, ntyp = 4
/
ATOMIC_SPECIES
Ag 107.87 Ag.upf
Si 28.09 Si.upf
Be 9.01 Be.upf
Na 22.99 Na.upf
ATOMIC_POSITIONS crystal
Ag 0.500 0.000 0.000
Ag 0.000 0.500 0.000
Si 0.500 0.500 0.500
Be 0.000 0.000 0.000
Na 0.000 0.000 0.500
CELL_PARAMETERS angstrom
-1.420 -1.776 -3.763
2.879 -3.290 0.466
-3.199 -2.464 2.371



Entry 11:
! BeNb3Ag, relaxed, DFT GGA-PBEsol; values from VASP
! VASP energy   -7.301 eV/atom
! Space group   No. 221
! M_tot   0.00 μB/f.u.
! Energy of formation from the pure elements   0.654 eV/atom
&SYSTEM
  ibrav = 0, nat = 5, ntyp = 3
/
ATOMIC_SPECIES
Be 9.01 Be.upf
Ag 107.87 Ag.upf
Nb 92.91 Nb.upf
ATOMIC_POSITIONS crystal
Be 0.000 0.000 0.000
Ag 0.500 0.500 0.500
Nb 0.000 0.500 0.000
Nb 0.500 0.000 0.000
Nb 0.000 0.000 0.500
CELL_PARAMETERS angstrom
-3.725 2.258 -0.510
-0.417 -1.605 -4.060
-2.277 -3.400 1.578



Entry 12:
! BeNi2Ag, relaxed, DFT GGA-PBEsol; values from VASP
! VASP energy   -4.915 eV/atom
! Space group   No. 71
! M_tot   0.00 μB/f.u.
! Energy of formation from the pure elements   -0.008 eV/atom
&SYSTEM
  ibrav = 0, nat = 4, ntyp = 3
/
ATOMIC_SPECIES
Ni 58.69 Ni.upf
Be 9.01 Be.upf
Ag 107.87 Ag.upf
ATOMIC_POSITIONS crystal
Ni 0.719 0.719 0.438
Ni 0.281 0.281 0.562
Be 0.000 0.500 0.000
Ag 0.500 0.000 0.000
CELL_PARAMETERS angstrom
2.648 0.000 0.000
0.000 4.106 0.000
-1.324 -2.053 4.069